1.
The following is a DFT calculation (PBE-GGA) of FeNi3Rh after structural relaxation.

Output
Energy of formation from the pure elements, eV/atom: 0.00
Crystal system: orthorhombic
Total DFT energy (no corrections), eV per atom: -6.630
Relative energy among the computed polymorphs, eV per atom: 0.028

Geometry as POSCAR:
```
FeNi3Rh
1.0
1.3001 -11.0746 0.0000
1.3001 11.0746 0.0000
0.0000 0.0000 4.1410
Fe Ni Rh
2 6 2
Direct
0.1289 0.8711 0.7500 Fe
0.8711 0.1289 0.2500 Fe
0.0626 0.9374 0.2500 Ni
0.2660 0.7340 0.2500 Ni
0.4669 0.5331 0.2500 Ni
0.5331 0.4669 0.7500 Ni
0.7340 0.2660 0.7500 Ni
0.9374 0.0626 0.7500 Ni
0.3351 0.6649 0.7500 Rh
0.6649 0.3351 0.2500 Rh
```

=====

2.
The following is a DFT calculation (PBE-GGA) of Fe3Ni7Rh2 after structural relaxation.

Output
Energy of formation from the pure elements, eV/atom: 0.12
Crystal system: monoclinic
Total DFT energy (no corrections), eV per atom: -6.596

Geometry as POSCAR:
```
Fe3Ni7Rh2
1.0
4.3499 0.0000 0.0000
0.0000 2.5866 0.0000
-1.9811 0.0000 12.8736
Fe Ni Rh
3 7 2
Direct
0.0000 0.0000 0.0000 Fe
0.1561 0.0000 0.3070 Fe
0.8439 0.0000 0.6930 Fe
0.2334 0.5000 0.4640 Ni
0.2350 0.5000 0.1543 Ni
0.2714 0.0000 0.8404 Ni
0.5000 0.5000 0.0000 Ni
0.7286 0.0000 0.1596 Ni
0.7650 0.5000 0.8457 Ni
0.7666 0.5000 0.5360 Ni
0.3281 0.5000 0.6635 Rh
0.6719 0.5000 0.3365 Rh
```

=====

3.
The following is a DFT calculation (PBE-GGA) of FeNiRh2 after structural relaxation.

Output
Energy of formation from the pure elements, eV/atom: 0.01
Crystal system: orthorhombic
Total DFT energy (no corrections), eV per atom: -7.227

Geometry as POSCAR:
```
FeNiRh2
1.0
2.6776 0.0000 0.0000
0.0000 3.6718 0.0000
0.0000 0.0000 5.3084
Fe Ni Rh
1 1 2
Direct
0.0000 0.0000 0.0000 Fe
0.5000 0.5000 0.2350 Ni
0.0000 0.0000 0.4783 Rh
0.5000 0.5000 0.7451 Rh
```

=====

4.
The following is a DFT calculation (PBE-GGA) of FeNi2Rh2 after structural relaxation.

Output
Energy of formation from the pure elements, eV/atom: 0.37
Crystal system: orthorhombic
Total DFT energy (no corrections), eV per atom: -6.574
Relative energy among the computed polymorphs, eV per atom: 0.170

Geometry as POSCAR:
```
FeNi2Rh2
1.0
2.1344 -3.3202 0.0000
2.1344 3.3202 0.0000
0.0000 0.0000 5.0777
Fe Ni Rh
1 2 2
Direct
0.0000 0.0000 0.0000 Fe
0.1700 0.8300 0.5000 Ni
0.8300 0.1700 0.5000 Ni
0.5000 0.5000 0.2511 Rh
0.5000 0.5000 0.7489 Rh
```

=====

5.
The following is a DFT calculation (PBE-GGA) of FeNi4Rh after structural relaxation.

Output
Energy of formation from the pure elements, eV/atom: -0.04
Crystal system: orthorhombic
Total DFT energy (no corrections), eV per atom: -6.530
Relative energy among the computed polymorphs, eV per atom: 0.000

Geometry as POSCAR:
```
FeNi4Rh
1.0
4.1347 0.0000 0.0000
0.0000 3.8273 2.2211
0.0000 -3.8273 2.2211
Fe Ni Rh
1 4 1
Direct
0.0000 0.0000 0.0000 Fe
0.0000 0.3146 0.6576 Ni
0.0000 0.6576 0.3146 Ni
0.5000 0.3255 0.9892 Ni
0.5000 0.9892 0.3255 Ni
0.5000 0.6519 0.6519 Rh
```

=====

6.
The following is a DFT calculation (PBE-GGA) of Fe7Ni6Rh16 after structural relaxation.

Output
Energy of formation from the pure elements, eV/atom: 0.26
Crystal system: cubic
Total DFT energy (no corrections), eV per atom: -7.034

Geometry as POSCAR:
```
Fe7Ni6Rh16
1.0
0.0000 5.9001 5.9001
5.9001 0.0000 5.9001
5.9001 5.9001 0.0000
Fe Ni Rh
7 6 16
Direct
0.0000 0.0000 0.0000 Fe
0.0000 0.0000 0.5000 Fe
0.0000 0.5000 0.0000 Fe
0.0000 0.5000 0.5000 Fe
0.5000 0.0000 0.0000 Fe
0.5000 0.0000 0.5000 Fe
0.5000 0.5000 0.0000 Fe
0.3433 0.3433 0.6567 Ni
0.3433 0.6567 0.3433 Ni
0.3433 0.6567 0.6567 Ni
0.6567 0.3433 0.3433 Ni
0.6567 0.3433 0.6567 Ni
0.6567 0.6567 0.3433 Ni
0.0241 0.6586 0.6586 Rh
0.1179 0.1179 0.1179 Rh
0.1179 0.1179 0.6462 Rh
0.1179 0.6462 0.1179 Rh
0.3414 0.3414 0.3414 Rh
0.3414 0.3414 0.9759 Rh
0.3414 0.9759 0.3414 Rh
0.3538 0.8821 0.8821 Rh
0.6462 0.1179 0.1179 Rh
0.6586 0.0241 0.6586 Rh
0.6586 0.6586 0.0241 Rh
0.6586 0.6586 0.6586 Rh
0.8821 0.3538 0.8821 Rh
0.8821 0.8821 0.3538 Rh
0.8821 0.8821 0.8821 Rh
0.9759 0.3414 0.3414 Rh
```

=====

7.
The following is a DFT calculation (PBE-GGA) of Fe2Ni6Rh after structural relaxation.

Output
Energy of formation from the pure elements, eV/atom: -0.05
Crystal system: monoclinic
Total DFT energy (no corrections), eV per atom: -6.600
Relative energy among the computed polymorphs, eV per atom: 0.000

Geometry as POSCAR:
```
Fe2Ni6Rh
1.0
4.0346 -1.7928 0.0000
4.0346 1.7928 0.0000
-2.4787 0.0000 7.1923
Fe Ni Rh
2 6 1
Direct
0.1723 0.1723 0.2312 Fe
0.8277 0.8277 0.7688 Fe
0.1653 0.1653 0.5528 Ni
0.1658 0.1658 0.8853 Ni
0.4992 0.4992 0.3370 Ni
0.5008 0.5008 0.6630 Ni
0.8342 0.8342 0.1147 Ni
0.8347 0.8347 0.4472 Ni
0.5000 0.5000 0.0000 Rh
```

=====

8.
The following is a DFT calculation (PBE-GGA) of Fe3Ni2Rh3 after structural relaxation.

Output
Energy of formation from the pure elements, eV/atom: -0.03
Crystal system: orthorhombic
Total DFT energy (no corrections), eV per atom: -7.402

Geometry as POSCAR:
```
Fe3Ni2Rh3
1.0
-1.7800 1.8858 7.6528
1.7800 -1.8858 7.6528
1.7800 1.8858 -7.6528
Fe Ni Rh
3 2 3
Direct
0.0000 0.0000 0.0000 Fe
0.3672 0.8672 0.5000 Fe
0.6328 0.1328 0.5000 Fe
0.2509 0.2509 0.0000 Ni
0.7491 0.7491 0.0000 Ni
0.1294 0.6294 0.5000 Rh
0.5000 0.5000 0.0000 Rh
0.8706 0.3706 0.5000 Rh
```

=====

9.
The following is a DFT calculation (PBE-GGA) of Fe2Ni2Rh after structural relaxation.

Output
Energy of formation from the pure elements, eV/atom: 0.27
Crystal system: trigonal
Total DFT energy (no corrections), eV per atom: -6.902
Relative energy among the computed polymorphs, eV per atom: 0.208

Geometry as POSCAR:
```
Fe2Ni2Rh
1.0
4.0270 0.0000 0.0000
-2.0135 3.4875 0.0000
0.0000 0.0000 4.8834
Fe Ni Rh
2 2 1
Direct
0.3333 0.6667 0.1835 Fe
0.6667 0.3333 0.8165 Fe
0.3333 0.6667 0.6599 Ni
0.6667 0.3333 0.3401 Ni
0.0000 0.0000 0.0000 Rh
```

=====

10.
The following is a DFT calculation (PBE-GGA) of Fe3Ni2Rh4 after structural relaxation.

Output
Energy of formation from the pure elements, eV/atom: 0.07
Crystal system: monoclinic
Total DFT energy (no corrections), eV per atom: -7.301

Geometry as POSCAR:
```
Fe3Ni2Rh4
1.0
6.4578 -1.3277 0.0000
6.4578 1.3277 0.0000
-1.7909 0.0000 6.8427
Fe Ni Rh
3 2 4
Direct
0.0000 0.0000 0.0000 Fe
0.1750 0.1750 0.9034 Fe
0.8250 0.8250 0.0966 Fe
0.3416 0.3416 0.7990 Ni
0.6584 0.6584 0.2010 Ni
0.1632 0.1632 0.5286 Rh
0.4815 0.4815 0.3080 Rh
0.5185 0.5185 0.6920 Rh
0.8368 0.8368 0.4714 Rh
```

=====

11.
The following is a DFT calculation (PBE-GGA) of FeNi12Rh3 after structural relaxation.

Output
Energy of formation from the pure elements, eV/atom: -0.01
Crystal system: trigonal
Total DFT energy (no corrections), eV per atom: -6.248

Geometry as POSCAR:
```
FeNi12Rh3
1.0
5.0933 2.9406 4.1655
-5.0933 2.9406 4.1655
0.0000 -5.8812 4.1655
Fe Ni Rh
2 24 6
Direct
0.2500 0.2500 0.2500 Fe
0.7500 0.7500 0.7500 Fe
0.9998 0.0000 0.2450 Ni
0.0002 0.0000 0.7550 Ni
0.0000 0.2450 0.9998 Ni
0.9999 0.2500 0.5001 Ni
0.0001 0.7500 0.4999 Ni
0.0000 0.7550 0.0002 Ni
0.2450 0.9998 0.0000 Ni
0.2489 0.7500 0.2511 Ni
0.2500 0.5001 0.9999 Ni
0.2500 0.7489 0.7511 Ni
0.2511 0.2489 0.7500 Ni
0.2550 0.5000 0.5002 Ni
0.5001 0.9999 0.2500 Ni
0.4999 0.0001 0.7500 Ni
0.5002 0.2550 0.5000 Ni
0.5000 0.5002 0.2550 Ni
0.5000 0.4998 0.7450 Ni
0.4998 0.7450 0.5000 Ni
0.7450 0.5000 0.4998 Ni
0.7489 0.7511 0.2500 Ni
0.7500 0.2511 0.2489 Ni
0.7500 0.4999 0.0001 Ni
0.7511 0.2500 0.7489 Ni
0.7550 0.0002 0.0000 Ni
0.9996 0.5004 0.2500 Rh
0.0004 0.4996 0.7500 Rh
0.2500 0.9996 0.5004 Rh
0.5004 0.2500 0.9996 Rh
0.4996 0.7500 0.0004 Rh
0.7500 0.0004 0.4996 Rh
```

=====

12.
The following is a DFT calculation (PBE-GGA) of Fe14NiRh after structural relaxation.

Output
Energy of formation from the pure elements, eV/atom: 0.01
Crystal system: orthorhombic
Total DFT energy (no corrections), eV per atom: -8.219

Geometry as POSCAR:
```
Fe14NiRh
1.0
2.8595 -4.0797 0.0000
2.8595 4.0797 0.0000
0.0000 0.0000 8.1534
Fe Ni Rh
14 1 1
Direct
0.0000 0.0000 0.0000 Fe
0.0000 0.5000 0.0000 Fe
0.0000 0.5000 0.5000 Fe
0.2472 0.2472 0.2444 Fe
0.2472 0.2472 0.7556 Fe
0.2498 0.7502 0.2488 Fe
0.2498 0.7502 0.7512 Fe
0.5000 0.0000 0.0000 Fe
0.5000 0.0000 0.5000 Fe
0.5000 0.5000 0.0000 Fe
0.7502 0.2498 0.2488 Fe
0.7502 0.2498 0.7512 Fe
0.7528 0.7528 0.2444 Fe
0.7528 0.7528 0.7556 Fe
0.0000 0.0000 0.5000 Ni
0.5000 0.5000 0.5000 Rh
```